(1)
Ce2PuPtN5 after structural relaxation. Source: Alexandria via LeMat-Bulk, functional PBE.

Cell and atoms, written as CIF:
```
data_Ce2PuPtN5
_cell_length_a 3.478
_cell_length_b 13.180
_cell_length_c 10.731
_cell_angle_alpha 90.00
_cell_angle_beta 90.00
_cell_angle_gamma 90.00
_space_group_name_H-M_alt 'C m c 21'
_space_group_IT_number 36
loop_
_space_group_symop_operation_xyz
'x,y,z'
'-x,-y,z+1/2'
'-x,y,z'
'x,-y,z+1/2'
'x+1/2,y+1/2,z'
'-x+1/2,-y+1/2,z+1/2'
'-x+1/2,y+1/2,z'
'x+1/2,-y+1/2,z+1/2'
loop_
_atom_site_label
_atom_site_fract_x
_atom_site_fract_y
_atom_site_fract_z
Ce1 0.000 0.099 0.000
Ce2 0.000 0.144 0.610
Pu1 0.000 0.207 0.325
Pt1 0.000 0.478 0.758
N1 0.000 0.057 0.386
N2 0.000 0.272 0.969
N3 0.000 0.326 0.687
N4 0.000 0.367 0.305
N5 0.000 0.481 0.076
```

Calculated values
**DOS(E_F)**: 30.43 states/eV per cell
**Energy**: -9.05 eV per atom

---

(2)
Ce2TaPtN5 after structural relaxation. Source: Alexandria via LeMat-Bulk, functional PBE.

Cell and atoms, written as CIF:
```
data_Ce2TaPtN5
_cell_length_a 3.326
_cell_length_b 13.048
_cell_length_c 10.592
_cell_angle_alpha 90.00
_cell_angle_beta 90.00
_cell_angle_gamma 90.00
_space_group_name_H-M_alt 'C m c 21'
_space_group_IT_number 36
loop_
_space_group_symop_operation_xyz
'x,y,z'
'-x,-y,z+1/2'
'-x,y,z'
'x,-y,z+1/2'
'x+1/2,y+1/2,z'
'-x+1/2,-y+1/2,z+1/2'
'-x+1/2,y+1/2,z'
'x+1/2,-y+1/2,z+1/2'
loop_
_atom_site_label
_atom_site_fract_x
_atom_site_fract_y
_atom_site_fract_z
Ce1 0.000 0.100 0.000
Ce2 0.000 0.146 0.617
Ta1 0.000 0.208 0.330
Pt1 0.000 0.476 0.765
N1 0.000 0.060 0.394
N2 0.000 0.275 0.962
N3 0.000 0.320 0.693
N4 0.000 0.365 0.307
N5 0.000 0.484 0.080
```

Calculated values
**DOS(E_F)**: 12.46 states/eV per cell
**Energy**: -8.80 eV per atom

---

(3)
TbCe2PtN4 after structural relaxation. Source: Alexandria via LeMat-Bulk, functional PBE.

Cell and atoms, written as CIF:
```
data_TbCe2PtN4
_cell_length_a 3.437
_cell_length_b 11.768
_cell_length_c 11.903
_cell_angle_alpha 90.00
_cell_angle_beta 90.00
_cell_angle_gamma 90.00
_space_group_name_H-M_alt 'C m c m'
_space_group_IT_number 63
_space_group_name_Hall '-C 2c 2'
loop_
_atom_site_label
_atom_site_fract_x
_atom_site_fract_y
_atom_site_fract_z
Tb1 0.000 0.116 0.250
Ce1 0.000 0.371 0.054
Pt1 0.000 0.148 0.750
N1 0.000 0.000 0.000
N2 0.000 0.277 0.619
N3 0.000 0.464 0.250
```

Calculated values
**DOS(E_F)**: 14.44 states/eV per cell
**Energy**: -7.96 eV per atom

---

(4)
Tb2CePtN4 after structural relaxation. Source: Alexandria via LeMat-Bulk, functional PBE.

Cell and atoms, written as CIF:
```
data_Tb2CePtN4
_cell_length_a 3.425
_cell_length_b 11.689
_cell_length_c 11.780
_cell_angle_alpha 90.00
_cell_angle_beta 90.00
_cell_angle_gamma 90.00
_space_group_name_H-M_alt 'C m c m'
_space_group_IT_number 63
_space_group_name_Hall '-C 2c 2'
loop_
_atom_site_label
_atom_site_fract_x
_atom_site_fract_y
_atom_site_fract_z
Tb1 0.000 0.128 0.049
Ce1 0.000 0.384 0.250
Pt1 0.000 0.353 0.750
N1 0.000 0.039 0.250
N2 0.000 0.219 0.629
N3 0.000 0.500 0.000
```

Calculated values
**DOS(E_F)**: 20.70 states/eV per cell
**Energy**: -7.77 eV per atom

---

(5)
CeTh2PtN4 after structural relaxation. Source: Alexandria via LeMat-Bulk, functional PBE.

Cell and atoms, written as CIF:
```
data_CeTh2PtN4
_cell_length_a 3.566
_cell_length_b 11.910
_cell_length_c 12.191
_cell_angle_alpha 90.00
_cell_angle_beta 90.00
_cell_angle_gamma 90.00
_space_group_name_H-M_alt 'C m c m'
_space_group_IT_number 63
_space_group_name_Hall '-C 2c 2'
loop_
_atom_site_label
_atom_site_fract_x
_atom_site_fract_y
_atom_site_fract_z
Ce1 0.000 0.109 0.250
Th1 0.000 0.371 0.059
Pt1 0.000 0.161 0.750
N1 0.000 0.000 0.000
N2 0.000 0.278 0.613
N3 0.000 0.479 0.250
```

Calculated values
**Energy**: -8.66 eV per atom

---

(6)
CeY2PtN4 after structural relaxation. Source: Alexandria via LeMat-Bulk, functional PBE.

Cell and atoms, written as CIF:
```
data_CeY2PtN4
_cell_length_a 3.418
_cell_length_b 11.652
_cell_length_c 11.770
_cell_angle_alpha 90.00
_cell_angle_beta 90.00
_cell_angle_gamma 90.00
_space_group_name_H-M_alt 'C m c m'
_space_group_IT_number 63
_space_group_name_Hall '-C 2c 2'
loop_
_atom_site_label
_atom_site_fract_x
_atom_site_fract_y
_atom_site_fract_z
Ce1 0.000 0.117 0.250
Y1 0.000 0.372 0.048
Pt1 0.000 0.145 0.750
N1 0.000 0.000 0.000
N2 0.000 0.280 0.628
N3 0.000 0.462 0.250
```

Calculated values
**DOS(E_F)**: 20.61 states/eV per cell
**Energy**: -8.23 eV per atom

---

(7)
Ce2ZrPtN5 after structural relaxation. Source: Alexandria via LeMat-Bulk, functional PBE.

Cell and atoms, written as CIF:
```
data_Ce2ZrPtN5
_cell_length_a 3.358
_cell_length_b 13.263
_cell_length_c 10.603
_cell_angle_alpha 90.00
_cell_angle_beta 90.00
_cell_angle_gamma 90.00
_space_group_name_H-M_alt 'C m c 21'
_space_group_IT_number 36
loop_
_space_group_symop_operation_xyz
'x,y,z'
'-x,-y,z+1/2'
'-x,y,z'
'x,-y,z+1/2'
'x+1/2,y+1/2,z'
'-x+1/2,-y+1/2,z+1/2'
'-x+1/2,y+1/2,z'
'x+1/2,-y+1/2,z+1/2'
loop_
_atom_site_label
_atom_site_fract_x
_atom_site_fract_y
_atom_site_fract_z
Ce1 0.000 0.105 0.000
Ce2 0.000 0.144 0.614
Zr1 0.000 0.206 0.323
Pt1 0.000 0.476 0.764
N1 0.000 0.051 0.389
N2 0.000 0.277 0.970
N3 0.000 0.322 0.683
N4 0.000 0.368 0.304
N5 0.000 0.485 0.080
```

Calculated values
**DOS(E_F)**: 11.04 states/eV per cell
**Energy**: -8.48 eV per atom

---

(8)
Ce3PuN after structural relaxation. Source: Alexandria via LeMat-Bulk, functional PBE.

Cell and atoms, written as CIF:
```
data_Ce3PuN
_cell_length_a 4.877
_cell_length_b 4.877
_cell_length_c 4.877
_cell_angle_alpha 90.00
_cell_angle_beta 90.00
_cell_angle_gamma 90.00
_space_group_name_H-M_alt 'P m -3 m'
_space_group_IT_number 221
_space_group_name_Hall '-P 4 2 3'
loop_
_atom_site_label
_atom_site_fract_x
_atom_site_fract_y
_atom_site_fract_z
Ce1 0.000 0.000 0.500
Pu1 0.500 0.500 0.500
N1 0.000 0.000 0.000
```

Calculated values
**DOS(E_F)**: 13.75 states/eV per cell
**Energy**: -8.58 eV per atom